1.
{
  "formula": "CaAlRu2",
  "functional": "PBE-GGA",
  "state": "optimized geometry",
  "cell": [[3.0923, 0.0000, 0.0000], [0.0000, 5.0176, 0.0000], [0.0000, 0.0000, 8.6922]],
  "species": ["Ca", "Ca", "Al", "Al", "Ru", "Ru", "Ru", "Ru"],
  "frac_coords": [[0.0000, 0.0000, 0.0000], [0.5000, 0.5000, 0.5000], [0.0000, 0.0000, 0.5000], [0.5000, 0.5000, 0.0000], [0.0000, 0.5000, 0.2238], [0.0000, 0.5000, 0.7762], [0.5000, 0.0000, 0.2762], [0.5000, 0.0000, 0.7238]],
  "dft_energy_ev_per_atom": -5.95,
  "spacegroup": "Immm, No. 71"
}



2.
{
  "formula": "CaAl2Ru",
  "functional": "PBE-GGA",
  "state": "optimized geometry",
  "cell": [[5.0917, 0.0000, 0.0000], [0.0000, 5.0917, 0.0000], [0.0000, 0.0000, 16.0994]],
  "species": ["Ca", "Ca", "Ca", "Ca", "Al", "Al", "Al", "Al", "Al", "Al", "Al", "Al", "Ru", "Ru", "Ru", "Ru"],
  "frac_coords": [[0.0000, 0.0000, 0.0000], [0.0000, 0.5000, 0.2500], [0.5000, 0.0000, 0.7500], [0.5000, 0.5000, 0.5000], [0.0070, 0.2500, 0.6250], [0.2500, 0.5070, 0.8750], [0.2500, 0.9930, 0.3750], [0.4930, 0.2500, 0.1250], [0.5070, 0.7500, 0.1250], [0.7500, 0.0070, 0.3750], [0.7500, 0.4930, 0.8750], [0.9930, 0.7500, 0.6250], [0.0000, 0.0000, 0.5000], [0.0000, 0.5000, 0.7500], [0.5000, 0.0000, 0.2500], [0.5000, 0.5000, 0.0000]],
  "dft_energy_ev_per_atom": -4.60,
  "spacegroup": "I-42d, No. 122"
}



3.
{
  "formula": "CaAlRu2",
  "functional": "PBE-GGA",
  "state": "optimized geometry",
  "cell": [[3.2548, 0.0000, 0.0000], [0.0000, 4.8001, 0.0000], [0.0000, 0.0000, 8.4421]],
  "species": ["Ca", "Ca", "Al", "Al", "Ru", "Ru", "Ru", "Ru"],
  "frac_coords": [[0.0000, 0.0000, 0.0000], [0.5000, 0.5000, 0.0000], [0.0000, 0.0000, 0.5000], [0.5000, 0.5000, 0.5000], [0.0000, 0.5000, 0.2795], [0.0000, 0.5000, 0.7205], [0.5000, 0.0000, 0.2795], [0.5000, 0.0000, 0.7205]],
  "dft_energy_ev_per_atom": -5.96,
  "spacegroup": "Cmmm, No. 65"
}



4.
{
  "formula": "CaAlRu2",
  "functional": "PBE-GGA",
  "state": "optimized geometry",
  "cell": [[4.4844, 0.0000, 0.0000], [0.0000, 4.4844, 0.0000], [0.0000, 0.0000, 3.2412]],
  "species": ["Ca", "Al", "Ru", "Ru"],
  "frac_coords": [[0.0000, 0.0000, 0.0000], [0.5000, 0.5000, 0.0000], [0.0000, 0.5000, 0.5000], [0.5000, 0.0000, 0.5000]],
  "dft_energy_ev_per_atom": -5.95,
  "spacegroup": "P4/mmm, No. 123"
}



5.
{
  "formula": "CaAl2Ru",
  "functional": "PBE-GGA",
  "state": "optimized geometry",
  "cell": [[3.3016, 0.0000, 0.0000], [0.0000, 3.3016, 0.0000], [0.0000, 0.0000, 7.0305]],
  "species": ["Ca", "Al", "Al", "Ru"],
  "frac_coords": [[0.0000, 0.0000, 0.0000], [0.0000, 0.0000, 0.4343], [0.5000, 0.5000, 0.6642], [0.5000, 0.5000, 0.2990]],
  "dft_energy_ev_per_atom": -4.96,
  "spacegroup": "P4mm, No. 99"
}



6.
{
  "formula": "CaAlRu2",
  "functional": "PBE-GGA",
  "state": "optimized geometry",
  "cell": [[3.1271, 0.0000, 0.0000], [0.0000, 4.2927, 0.0000], [0.0000, 0.0000, 4.9309]],
  "species": ["Ca", "Al", "Ru", "Ru"],
  "frac_coords": [[0.0000, 0.0000, 0.0000], [0.5000, 0.0000, 0.5000], [0.0000, 0.5000, 0.5000], [0.5000, 0.5000, 0.0000]],
  "dft_energy_ev_per_atom": -5.88,
  "spacegroup": "Pmmm, No. 47"
}



7.
{
  "formula": "CaAlRu3",
  "functional": "PBE-GGA",
  "state": "optimized geometry",
  "cell": [[4.5602, 0.0000, 0.0000], [0.0000, 4.5602, 0.0000], [0.0000, 0.0000, 4.5602]],
  "species": ["Ca", "Al", "Ru", "Ru", "Ru"],
  "frac_coords": [[0.0000, 0.0000, 0.0000], [0.5000, 0.5000, 0.5000], [0.0000, 0.5000, 0.5000], [0.5000, 0.0000, 0.5000], [0.5000, 0.5000, 0.0000]],
  "e_above_lowest_polymorph_mev_per_atom": 0,
  "spacegroup": "Pm-3m, No. 221"
}



8.
{
  "formula": "Ca4AlRu",
  "functional": "PBE-GGA",
  "state": "optimized geometry",
  "cell": [[0.0000, 4.2979, 4.2979], [4.2979, 0.0000, 4.2979], [4.2979, 4.2979, 0.0000]],
  "species": ["Ca", "Ca", "Ca", "Ca", "Al", "Ru"],
  "frac_coords": [[0.1241, 0.1241, 0.1241], [0.1241, 0.1241, 0.6277], [0.1241, 0.6277, 0.1241], [0.6277, 0.1241, 0.1241], [0.5000, 0.5000, 0.5000], [0.7500, 0.7500, 0.7500]],
  "dft_energy_ev_per_atom": -2.68,
  "spacegroup": "F-43m, No. 216"
}



Number 1: magnetization 0.0 μB/f.u.. Number 2: magnetization 0.0 μB/f.u.. Number 3: magnetization 0.0 μB/f.u.. Number 4: magnetization 0.0 μB/f.u.. Number 5: magnetization 0.0 μB/f.u.. Number 6: magnetization 0.0 μB/f.u.. Number 7: magnetization 1.4 μB/f.u.. Number 8: magnetization 0.0 μB/f.u..